# Na2Hf2Sb2Se, relaxed, DFT PBE-GGA
# Formation energy without anion corrections, eV/atom: -0.459
# Size of the total moment, Bohr magnetons per cell: 1.20
# Total DFT energy (no corrections), eV/f.u.: -37.49
data_Na2Hf2Sb2Se
_cell_length_a 5.010
_cell_length_b 5.010
_cell_length_c 16.100
_cell_angle_alpha 90.00
_cell_angle_beta 90.00
_cell_angle_gamma 90.00
_space_group_name_H-M_alt 'I 4/m m m'
_space_group_IT_number 139
_space_group_name_Hall '-I 4 2'
loop_
_atom_site_label
_atom_site_type_symbol
_atom_site_fract_x
_atom_site_fract_y
_atom_site_fract_z
Na1 Na 0.000 0.000 0.187
Hf1 Hf 0.000 0.500 0.000
Sb1 Sb 0.000 0.000 0.382
Se1 Se 0.000 0.000 0.000

---

# NaSrHfSb2, relaxed, DFT PBE-GGA
# Formation energy without anion corrections, eV/atom: 1.037
# Size of the total moment, Bohr magnetons per cell: 0.96
# Total DFT energy (no corrections), eV/f.u.: -16.02
data_NaSrHfSb2
_cell_length_a 5.857
_cell_length_b 5.857
_cell_length_c 5.070
_cell_angle_alpha 90.00
_cell_angle_beta 90.00
_cell_angle_gamma 90.00
_space_group_name_H-M_alt 'P 4/m m m'
_space_group_IT_number 123
_space_group_name_Hall '-P 4 2'
loop_
_atom_site_label
_atom_site_type_symbol
_atom_site_fract_x
_atom_site_fract_y
_atom_site_fract_z
Na1 Na 0.000 0.000 0.000
Sr1 Sr 0.000 0.000 0.500
Hf1 Hf 0.500 0.500 0.000
Sb1 Sb 0.000 0.500 0.500

---

# NaHfTaSb, relaxed, DFT PBE-GGA
# Formation energy without anion corrections, eV/atom: 0.107
# Size of the total moment, Bohr magnetons per cell: 0.00
# Total DFT energy (no corrections), eV/f.u.: -26.82
# Distance to the lowest polymorph of the same formula, meV per atom: 24
data_NaHfTaSb
_cell_length_a 4.766
_cell_length_b 3.933
_cell_length_c 9.839
_cell_angle_alpha 90.00
_cell_angle_beta 90.11
_cell_angle_gamma 90.00
_space_group_name_H-M_alt 'C 1 m 1'
_space_group_IT_number 8
_space_group_name_Hall 'C -2y'
loop_
_atom_site_label
_atom_site_type_symbol
_atom_site_fract_x
_atom_site_fract_y
_atom_site_fract_z
Na1 Na 0.000 0.000 0.000
Hf1 Hf 0.003 0.000 0.496
Ta1 Ta 0.001 0.500 0.281
Sb1 Sb 0.004 0.500 0.727

---

# NaHfTaSb, relaxed, DFT PBE-GGA
# Formation energy without anion corrections, eV/atom: 0.198
# Size of the total moment, Bohr magnetons per cell: 0.00
# Total DFT energy (no corrections), eV/f.u.: -26.46
# Distance to the lowest polymorph of the same formula, meV per atom: 114
data_NaHfTaSb
_cell_length_a 3.172
_cell_length_b 3.931
_cell_length_c 7.594
_cell_angle_alpha 90.00
_cell_angle_beta 90.00
_cell_angle_gamma 90.00
_space_group_name_H-M_alt 'P m m 2'
_space_group_IT_number 25
_space_group_name_Hall 'P 2 -2'
loop_
_atom_site_label
_atom_site_type_symbol
_atom_site_fract_x
_atom_site_fract_y
_atom_site_fract_z
Na1 Na 0.000 0.000 0.000
Hf1 Hf 0.000 0.000 0.505
Ta1 Ta 0.500 0.500 0.702
Sb1 Sb 0.500 0.500 0.283

---

# NaHfTaSb, relaxed, DFT PBE-GGA
# Formation energy without anion corrections, eV/atom: 0.083
# Size of the total moment, Bohr magnetons per cell: 0.00
# Total DFT energy (no corrections), eV/f.u.: -26.91
# Distance to the lowest polymorph of the same formula, meV per atom: 0
data_NaHfTaSb
_cell_length_a 5.021
_cell_length_b 3.744
_cell_length_c 9.999
_cell_angle_alpha 90.00
_cell_angle_beta 90.41
_cell_angle_gamma 90.00
_space_group_name_H-M_alt 'C 1 m 1'
_space_group_IT_number 8
_space_group_name_Hall 'C -2y'
loop_
_atom_site_label
_atom_site_type_symbol
_atom_site_fract_x
_atom_site_fract_y
_atom_site_fract_z
Na1 Na 0.000 0.000 0.000
Hf1 Hf 0.491 0.000 0.705
Ta1 Ta 0.488 0.500 0.487
Sb1 Sb 0.484 0.000 0.277

---

# NaHfTa2Sb, relaxed, DFT PBE-GGA
# Formation energy without anion corrections, eV/atom: 1.821
# Size of the total moment, Bohr magnetons per cell: 0.00
# Total DFT energy (no corrections), eV/f.u.: -30.00
data_NaHfTa2Sb
_cell_length_a 4.725
_cell_length_b 4.725
_cell_length_c 4.834
_cell_angle_alpha 90.00
_cell_angle_beta 90.00
_cell_angle_gamma 90.00
_space_group_name_H-M_alt 'P 4/m m m'
_space_group_IT_number 123
_space_group_name_Hall '-P 4 2'
loop_
_atom_site_label
_atom_site_type_symbol
_atom_site_fract_x
_atom_site_fract_y
_atom_site_fract_z
Na1 Na 0.000 0.000 0.000
Hf1 Hf 0.000 0.000 0.500
Ta1 Ta 0.000 0.500 0.000
Sb1 Sb 0.500 0.500 0.500

---

# NaHfTaSb, relaxed, DFT PBE-GGA
# Formation energy without anion corrections, eV/atom: 0.259
# Size of the total moment, Bohr magnetons per cell: 0.00
# Total DFT energy (no corrections), eV/f.u.: -26.21
# Distance to the lowest polymorph of the same formula, meV per atom: 176
data_NaHfTaSb
_cell_length_a 4.679
_cell_length_b 3.144
_cell_length_c 12.226
_cell_angle_alpha 90.00
_cell_angle_beta 90.00
_cell_angle_gamma 90.00
_space_group_name_H-M_alt 'A m m 2'
_space_group_IT_number 38
_space_group_name_Hall 'A 2 -2'
loop_
_atom_site_label
_atom_site_type_symbol
_atom_site_fract_x
_atom_site_fract_y
_atom_site_fract_z
Na1 Na 0.000 0.000 0.000
Hf1 Hf 0.500 0.000 0.667
Ta1 Ta 0.000 0.000 0.251
Sb1 Sb 0.500 0.000 0.392

---

# NaHfTaSb, relaxed, DFT PBE-GGA
# Formation energy without anion corrections, eV/atom: 0.102
# Size of the total moment, Bohr magnetons per cell: 0.00
# Total DFT energy (no corrections), eV/f.u.: -26.84
# Distance to the lowest polymorph of the same formula, meV per atom: 19
data_NaHfTaSb
_cell_length_a 3.520
_cell_length_b 3.520
_cell_length_c 7.755
_cell_angle_alpha 90.00
_cell_angle_beta 90.00
_cell_angle_gamma 90.00
_space_group_name_H-M_alt 'P 4 m m'
_space_group_IT_number 99
_space_group_name_Hall 'P 4 -2'
loop_
_atom_site_label
_atom_site_type_symbol
_atom_site_fract_x
_atom_site_fract_y
_atom_site_fract_z
Na1 Na 0.000 0.000 0.000
Hf1 Hf 0.500 0.500 0.331
Ta1 Ta 0.000 0.000 0.524
Sb1 Sb 0.500 0.500 0.725

---

# NaHfTaSb, relaxed, DFT PBE-GGA
# Formation energy without anion corrections, eV/atom: 0.314
# Size of the total moment, Bohr magnetons per cell: 0.00
# Total DFT energy (no corrections), eV/f.u.: -25.99
# Distance to the lowest polymorph of the same formula, meV per atom: 231
data_NaHfTaSb
_cell_length_a 4.028
_cell_length_b 4.336
_cell_length_c 4.761
_cell_angle_alpha 90.00
_cell_angle_beta 90.00
_cell_angle_gamma 90.00
_space_group_name_H-M_alt 'P m m m'
_space_group_IT_number 47
_space_group_name_Hall '-P 2 2'
loop_
_atom_site_label
_atom_site_type_symbol
_atom_site_fract_x
_atom_site_fract_y
_atom_site_fract_z
Na1 Na 0.000 0.000 0.000
Hf1 Hf 0.500 0.000 0.500
Ta1 Ta 0.000 0.500 0.500
Sb1 Sb 0.500 0.500 0.000

---

# NaHfTaSb, relaxed, DFT PBE-GGA
# Formation energy without anion corrections, eV/atom: 0.308
# Size of the total moment, Bohr magnetons per cell: 0.00
# Total DFT energy (no corrections), eV/f.u.: -26.01
# Distance to the lowest polymorph of the same formula, meV per atom: 225
data_NaHfTaSb
_cell_length_a 3.033
_cell_length_b 5.238
_cell_length_c 6.097
_cell_angle_alpha 74.91
_cell_angle_beta 75.68
_cell_angle_gamma 89.96
_space_group_name_H-M_alt 'P 1'
_space_group_IT_number 1
_space_group_name_Hall 'P 1'
loop_
_atom_site_label
_atom_site_type_symbol
_atom_site_fract_x
_atom_site_fract_y
_atom_site_fract_z
Na1 Na 0.000 0.000 0.000
Hf1 Hf 0.802 0.374 0.391
Ta1 Ta 0.244 0.877 0.511
Sb1 Sb 0.555 0.525 0.889

---

# Na2Hf2SbTe6, relaxed, DFT PBE-GGA
# Formation energy without anion corrections, eV/atom: -0.666
# Size of the total moment, Bohr magnetons per cell: 1.70
# Total DFT energy (no corrections), eV/f.u.: -52.84
data_Na2Hf2SbTe6
_cell_length_a 7.351
_cell_length_b 12.557
_cell_length_c 8.014
_cell_angle_alpha 90.00
_cell_angle_beta 104.54
_cell_angle_gamma 90.00
_space_group_name_H-M_alt 'C 1 2/m 1'
_space_group_IT_number 12
_space_group_name_Hall '-C 2y'
loop_
_atom_site_label
_atom_site_type_symbol
_atom_site_fract_x
_atom_site_fract_y
_atom_site_fract_z
Na1 Na 0.000 0.168 0.000
Hf1 Hf 0.000 0.350 0.500
Sb1 Sb 0.000 0.000 0.500
Te1 Te 0.226 0.500 0.736
Te2 Te 0.233 0.177 0.710

---

# Na2HfSbTe4, relaxed, DFT PBE-GGA
# Formation energy without anion corrections, eV/atom: -0.611
# Size of the total moment, Bohr magnetons per cell: 0.15
# Total DFT energy (no corrections), eV/f.u.: -34.17
data_Na2HfSbTe4
_cell_length_a 7.818
_cell_length_b 4.244
_cell_length_c 7.819
_cell_angle_alpha 90.00
_cell_angle_beta 107.71
_cell_angle_gamma 90.00
_space_group_name_H-M_alt 'P 1 2/m 1'
_space_group_IT_number 10
_space_group_name_Hall '-P 2y'
loop_
_atom_site_label
_atom_site_type_symbol
_atom_site_fract_x
_atom_site_fract_y
_atom_site_fract_z
Na1 Na 0.000 0.000 0.000
Na2 Na 0.500 0.500 0.000
Hf1 Hf 0.000 0.500 0.500
Sb1 Sb 0.500 0.000 0.500
Te1 Te 0.227 0.000 0.717
Te2 Te 0.241 0.500 0.278

---

# NaHf2VSb, relaxed, DFT PBE-GGA
# Formation energy without anion corrections, eV/atom: 1.368
# Size of the total moment, Bohr magnetons per cell: 0.20
# Total DFT energy (no corrections), eV/f.u.: -27.63
data_NaHf2VSb
_cell_length_a 5.306
_cell_length_b 5.306
_cell_length_c 5.065
_cell_angle_alpha 90.00
_cell_angle_beta 90.00
_cell_angle_gamma 90.00
_space_group_name_H-M_alt 'P 4/m m m'
_space_group_IT_number 123
_space_group_name_Hall '-P 4 2'
loop_
_atom_site_label
_atom_site_type_symbol
_atom_site_fract_x
_atom_site_fract_y
_atom_site_fract_z
Na1 Na 0.000 0.000 0.000
Hf1 Hf 0.000 0.500 0.500
V1 V 0.500 0.500 0.000
Sb1 Sb 0.000 0.000 0.500

---

# Na2YHfSb, relaxed, DFT PBE-GGA
# Formation energy without anion corrections, eV/atom: 1.224
# Size of the total moment, Bohr magnetons per cell: 0.00
# Total DFT energy (no corrections), eV/f.u.: -17.06
data_Na2YHfSb
_cell_length_a 5.529
_cell_length_b 5.529
_cell_length_c 5.371
_cell_angle_alpha 90.00
_cell_angle_beta 90.00
_cell_angle_gamma 90.00
_space_group_name_H-M_alt 'P 4/m m m'
_space_group_IT_number 123
_space_group_name_Hall '-P 4 2'
loop_
_atom_site_label
_atom_site_type_symbol
_atom_site_fract_x
_atom_site_fract_y
_atom_site_fract_z
Na1 Na 0.000 0.500 0.000
Y1 Y 0.000 0.000 0.000
Hf1 Hf 0.000 0.000 0.500
Sb1 Sb 0.500 0.500 0.500

---

# NaHf2Sc2, relaxed, DFT PBE-GGA
# Size of the total moment, Bohr magnetons per cell: 0.00
# Total DFT energy (no corrections), eV/f.u.: -32.00
# Energy relative to the elements, eV per formula unit: 1.9
data_NaHf2Sc2
_cell_length_a 8.930
_cell_length_b 8.930
_cell_length_c 3.233
_cell_angle_alpha 90.00
_cell_angle_beta 90.00
_cell_angle_gamma 90.00
_space_group_name_H-M_alt 'P 4/m b m'
_space_group_IT_number 127
_space_group_name_Hall '-P 4 2ab'
loop_
_atom_site_label
_atom_site_type_symbol
_atom_site_fract_x
_atom_site_fract_y
_atom_site_fract_z
Na1 Na 0.000 0.000 0.000
Hf1 Hf 0.113 0.387 0.000
Sc1 Sc 0.176 0.676 0.500

---

# Na3HfSc, relaxed, DFT PBE-GGA
# Size of the total moment, Bohr magnetons per cell: 2.11
# Total DFT energy (no corrections), eV/f.u.: -12.45
# Distance to the lowest polymorph of the same formula, meV per atom: 0
# Energy relative to the elements, eV per formula unit: 7.8
data_Na3HfSc
_cell_length_a 5.417
_cell_length_b 5.417
_cell_length_c 5.417
_cell_angle_alpha 90.00
_cell_angle_beta 90.00
_cell_angle_gamma 90.00
_space_group_name_H-M_alt 'P m -3 m'
_space_group_IT_number 221
_space_group_name_Hall '-P 4 2 3'
loop_
_atom_site_label
_atom_site_type_symbol
_atom_site_fract_x
_atom_site_fract_y
_atom_site_fract_z
Na1 Na 0.000 0.000 0.500
Hf1 Hf 0.500 0.500 0.500
Sc1 Sc 0.000 0.000 0.000

---

# Na3HfSc, relaxed, DFT PBE-GGA
# Size of the total moment, Bohr magnetons per cell: 3.66
# Total DFT energy (no corrections), eV/f.u.: -12.41
# Distance to the lowest polymorph of the same formula, meV per atom: 9
# Energy relative to the elements, eV per formula unit: 7.8
data_Na3HfSc
_cell_length_a 5.762
_cell_length_b 5.762
_cell_length_c 5.762
_cell_angle_alpha 90.00
_cell_angle_beta 90.00
_cell_angle_gamma 90.00
_space_group_name_H-M_alt 'P m -3 m'
_space_group_IT_number 221
_space_group_name_Hall '-P 4 2 3'
loop_
_atom_site_label
_atom_site_type_symbol
_atom_site_fract_x
_atom_site_fract_y
_atom_site_fract_z
Na1 Na 0.000 0.000 0.500
Hf1 Hf 0.000 0.000 0.000
Sc1 Sc 0.500 0.500 0.500

---

# NaHf3Sc, relaxed, DFT PBE-GGA
# Size of the total moment, Bohr magnetons per cell: 0.00
# Total DFT energy (no corrections), eV/f.u.: -31.03
# Distance to the lowest polymorph of the same formula, meV per atom: 0
# Energy relative to the elements, eV per formula unit: 6.5
data_NaHf3Sc
_cell_length_a 5.167
_cell_length_b 5.167
_cell_length_c 5.167
_cell_angle_alpha 90.00
_cell_angle_beta 90.00
_cell_angle_gamma 90.00
_space_group_name_H-M_alt 'P m -3 m'
_space_group_IT_number 221
_space_group_name_Hall '-P 4 2 3'
loop_
_atom_site_label
_atom_site_type_symbol
_atom_site_fract_x
_atom_site_fract_y
_atom_site_fract_z
Na1 Na 0.000 0.000 0.000
Hf1 Hf 0.000 0.500 0.500
Sc1 Sc 0.500 0.500 0.500

---

# Na2Hf2ScSe6, relaxed, DFT PBE-GGA
# Formation energy without anion corrections, eV/atom: -1.419
# Size of the total moment, Bohr magnetons per cell: 0.00
# Total DFT energy (no corrections), eV/f.u.: -65.39
data_Na2Hf2ScSe6
_cell_length_a 6.614
_cell_length_b 11.482
_cell_length_c 7.528
_cell_angle_alpha 90.00
_cell_angle_beta 107.02
_cell_angle_gamma 90.00
_space_group_name_H-M_alt 'C 1 2/m 1'
_space_group_IT_number 12
_space_group_name_Hall '-C 2y'
loop_
_atom_site_label
_atom_site_type_symbol
_atom_site_fract_x
_atom_site_fract_y
_atom_site_fract_z
Na1 Na 0.000 0.165 0.000
Hf1 Hf 0.000 0.333 0.500
Sc1 Sc 0.000 0.000 0.500
Se1 Se 0.234 0.500 0.718
Se2 Se 0.242 0.168 0.719

---

# Na3Hf2ScSe6, relaxed, DFT PBE-GGA
# Formation energy without anion corrections, eV/atom: -1.358
# Size of the total moment, Bohr magnetons per cell: 0.00
# Total DFT energy (no corrections), eV/f.u.: -67.40
data_Na3Hf2ScSe6
_cell_length_a 6.674
_cell_length_b 11.560
_cell_length_c 7.446
_cell_angle_alpha 90.00
_cell_angle_beta 107.39
_cell_angle_gamma 90.00
_space_group_name_H-M_alt 'C 1 2/m 1'
_space_group_IT_number 12
_space_group_name_Hall '-C 2y'
loop_
_atom_site_label
_atom_site_type_symbol
_atom_site_fract_x
_atom_site_fract_y
_atom_site_fract_z
Na1 Na 0.000 0.000 0.000
Na2 Na 0.000 0.334 0.000
Hf1 Hf 0.000 0.167 0.500
Sc1 Sc 0.000 0.500 0.500
Se1 Se 0.237 0.000 0.722
Se2 Se 0.243 0.332 0.722